# 1
First-principles (PBE) data for an optimized crystal structure of TlV2Ir2, as listed in Alexandria.

The structure belongs to space group P4/mbm (No. 127); the cell edges are 7.550, 7.550 and 2.817 Å and the angles 90.00°, 90.00° and 90.00°. The distinct sites, in fractional coordinates, are Tl at (0.000, 0.000, 0.000), V at (0.160, 0.340, 0.500) and Ir at (0.130, 0.630, 0.000).

The polymorph energy (0 for the lowest one) comes out at 0.00 eV per formula unit. The formation energy is -0.141 eV/atom.

***

# 2
First-principles (PBE) data for an optimized crystal structure of LiCd2BiAs, as listed in Alexandria.

The structure belongs to space group P4/mmm (No. 123); the cell edges are 5.209, 5.209 and 6.000 Å and the angles 90.00°, 90.00° and 90.00°. The distinct sites, in fractional coordinates, are Li at (0.000, 0.000, 0.000), Cd at (0.000, 0.500, 0.500), Bi at (0.500, 0.500, 0.000) and As at (0.500, 0.500, 0.500).

The formation energy is 0.283 eV/atom.